--- a ---
VASP calculation (PBE) on a geometry-optimized CdFeH2 structure.

The structure in POSCAR format:
```
CdFeH2
1.0
0.000 2.707 2.707
2.707 0.000 2.707
2.707 2.707 0.000
H Fe Cd
2 1 1
direct
0.250 0.250 0.250
0.750 0.750 0.750
0.000 0.000 0.000
0.500 0.500 0.500
```

Results
- crystal system = cubic
- SG = Fm-3m
- DOS(E_F) (states/eV/f.u.) = 6.3



--- b ---
VASP calculation (PBE) on a geometry-optimized CdFeH2 structure.

The structure in POSCAR format:
```
CdFeH2
1.0
4.276 0.000 0.000
0.000 4.276 0.000
2.138 2.138 4.323
H Fe Cd
4 2 2
direct
0.508 0.125 0.250
0.242 0.625 0.250
0.375 0.492 0.750
0.875 0.758 0.750
0.500 0.500 0.000
0.250 0.750 0.500
0.000 0.000 0.000
0.750 0.250 0.500
```

Results
- crystal system = tetragonal
- SG = I-42d
- DOS(E_F) (states/eV/f.u.) = 2.8



--- c ---
VASP calculation (PBE) on a geometry-optimized CdFeH2 structure.

The structure in POSCAR format:
```
CdFeH2
1.0
-1.332 -2.423 -0.062
1.370 -2.345 0.524
-1.361 -0.995 6.404
Cd Fe H
1 1 2
direct
0.492 0.492 0.525
0.671 0.671 0.988
0.041 0.041 0.877
0.297 0.297 0.110
```

Results
- crystal system = trigonal
- SG = R3m
- DOS(E_F) (states/eV/f.u.) = 2.3



Name the least stable of them. a.



--- a ---
VASP calculation (PBE) on a geometry-optimized Cd2FeH structure.

The structure in POSCAR format:
```
Cd2FeH
1.0
6.647 0.000 0.000
0.000 6.647 0.000
3.323 3.323 2.768
H Fe Cd
2 2 4
direct
0.500 0.500 0.000
0.250 0.750 0.500
0.000 0.000 0.000
0.750 0.250 0.500
0.556 0.125 0.250
0.194 0.625 0.250
0.375 0.444 0.750
0.875 0.806 0.750
```

Results
- crystal system = tetragonal
- SG = I-42d
- DOS(E_F) (states/eV/f.u.) = 3.5



--- b ---
VASP calculation (PBE) on a geometry-optimized Cd2FeH structure.

The structure in POSCAR format:
```
Cd2FeH
1.0
0.000 3.181 3.181
3.181 0.000 3.181
3.181 3.181 0.000
H Fe Cd
1 1 2
direct
0.000 0.000 0.000
0.500 0.500 0.500
0.250 0.250 0.250
0.750 0.750 0.750
```

Results
- crystal system = cubic
- SG = Fm-3m
- DOS(E_F) (states/eV/f.u.) = 4.7



Name the least stable of them. b.



--- a ---
VASP calculation (PBE) on a geometry-optimized CdFe3H structure.

The structure in POSCAR format:
```
CdFe3H
1.0
-1.868 2.323 3.915
-1.589 -4.299 1.792
4.266 -0.583 2.382
H Fe Cd
1 3 1
direct
0.500 0.500 0.500
0.000 0.500 0.000
0.000 0.000 0.500
0.500 0.000 0.000
0.000 0.000 0.000
```

Results
- crystal system = cubic
- SG = Pm-3m
- DOS(E_F) (states/eV/f.u.) = 11.1



--- b ---
VASP calculation (PBE) on a geometry-optimized CdFe3H structure.

The structure in POSCAR format:
```
CdFe3H
1.0
-1.098 -3.116 1.926
3.259 0.088 1.999
-1.673 2.215 2.630
H Fe Cd
1 3 1
direct
0.000 0.000 0.000
0.000 0.500 0.000
0.000 0.000 0.500
0.500 0.000 0.000
0.500 0.500 0.500
```

Results
- crystal system = cubic
- SG = Pm-3m
- DOS(E_F) (states/eV/f.u.) = 1.7



Name the least stable of them. a.



--- a ---
VASP calculation (PBE) on a geometry-optimized HfCdFe3 structure.

The structure in POSCAR format:
```
HfCdFe3
1.0
-0.115 -4.593 -0.325
3.324 -0.308 3.173
-3.186 -0.155 3.322
Hf Fe Cd
1 3 1
direct
0.000 0.000 0.000
0.000 0.500 0.000
0.000 0.000 0.500
0.500 0.000 0.000
0.500 0.500 0.500
```

Results
- crystal system = cubic
- SG = Pm-3m
- DOS(E_F) (states/eV/f.u.) = 5.2



--- b ---
VASP calculation (PBE) on a geometry-optimized HfCdFe3 structure.

The structure in POSCAR format:
```
HfCdFe3
1.0
4.673 0.000 0.000
0.000 4.673 0.000
0.000 0.000 4.673
Hf Fe Cd
1 3 1
direct
0.500 0.500 0.500
0.000 0.500 0.000
0.000 0.000 0.500
0.500 0.000 0.000
0.000 0.000 0.000
```

Results
- crystal system = cubic
- SG = Pm-3m
- DOS(E_F) (states/eV/f.u.) = 7.1



Name the least stable of them. b.



--- a ---
VASP calculation (PBE) on a geometry-optimized HfCd2Fe structure.

The structure in POSCAR format:
```
HfCd2Fe
1.0
7.789 0.000 0.000
0.000 7.789 0.000
3.894 3.894 2.663
Hf Fe Cd
2 2 4
direct
0.000 0.000 0.000
0.750 0.250 0.500
0.500 0.500 0.000
0.250 0.750 0.500
0.583 0.125 0.250
0.167 0.625 0.250
0.375 0.417 0.750
0.875 0.833 0.750
```

Results
- crystal system = tetragonal
- SG = I-42d
- DOS(E_F) (states/eV/f.u.) = 2.8



--- b ---
VASP calculation (PBE) on a geometry-optimized HfCd2Fe structure.

The structure in POSCAR format:
```
HfCd2Fe
1.0
-0.328 -4.362 -1.621
1.012 -3.604 2.783
-3.406 -2.802 1.518
Hf Fe Cd
1 1 2
direct
0.500 0.500 0.500
0.000 0.000 0.000
0.250 0.250 0.250
0.750 0.750 0.750
```

Results
- crystal system = cubic
- SG = Fm-3m
- DOS(E_F) (states/eV/f.u.) = 6.5



Name the least stable of them. a.



--- a ---
VASP calculation (PBE) on a geometry-optimized CdFeSn2Hg structure.

The structure in POSCAR format:
```
CdFeSn2Hg
1.0
4.888 0.000 0.000
0.000 4.888 0.000
0.000 0.000 5.232
Fe Cd Hg Sn
1 1 1 2
direct
0.000 0.000 0.000
0.000 0.000 0.500
0.500 0.500 0.500
0.000 0.500 0.000
0.500 0.000 0.000
```

Results
- crystal system = tetragonal
- SG = P4/mmm
- DOS(E_F) (states/eV/f.u.) = 1.5



--- b ---
VASP calculation (PBE) on a geometry-optimized CdFeSn2Hg structure.

The structure in POSCAR format:
```
CdFeSn2Hg
1.0
-2.708 -3.850 -1.377
2.729 -2.932 2.831
-3.258 0.852 4.024
Fe Cd Hg Sn
1 1 1 2
direct
0.000 0.000 0.000
0.500 0.500 0.500
0.000 0.000 0.500
0.000 0.500 0.000
0.500 0.000 0.000
```

Results
- crystal system = tetragonal
- SG = P4/mmm
- DOS(E_F) (states/eV/f.u.) = 2.0



Name the least stable of them. b.